Record 1
! NaLaTl2Ru | the Alexandria database | PBE | optimized geometry; values from VASP
! Uncorrected energy ... -0.30523 Ry/atom
! Space group ... P4/mmm, No. 123
! Density of states at the Fermi level ... 0.8262 states/eV per atom
! Energy relative to the elements ... -0.1019 eV/atom
&SYSTEM
  ibrav = 0, nat = 5, ntyp = 4
/
ATOMIC_SPECIES
Na 22.99 Na.upf
La 138.91 La.upf
Tl 204.38 Tl.upf
Ru 101.07 Ru.upf
ATOMIC_POSITIONS crystal
Na 0.000 0.000 0.000
La 0.500 0.500 0.000
Tl 0.000 0.500 0.500
Tl 0.500 0.000 0.500
Ru 0.500 0.500 0.500
CELL_PARAMETERS angstrom
5.451 0.000 0.000
0.000 5.451 0.000
0.000 0.000 5.141

---

Record 2
! NaLa2TlRu | the Alexandria database | PBE | optimized geometry; values from VASP
! Relative energy among the computed polymorphs ... 0 meV per atom
! Uncorrected energy ... -0.34718 Ry/atom
! Space group ... P4/mmm, No. 123
! Density of states at the Fermi level ... 0.8972 states/eV per atom
! Energy relative to the elements ... -0.1605 eV/atom
&SYSTEM
  ibrav = 0, nat = 5, ntyp = 4
/
ATOMIC_SPECIES
Na 22.99 Na.upf
La 138.91 La.upf
Tl 204.38 Tl.upf
Ru 101.07 Ru.upf
ATOMIC_POSITIONS crystal
Na 0.000 0.000 0.000
La 0.000 0.500 0.500
La 0.500 0.000 0.500
Tl 0.500 0.500 0.000
Ru 0.500 0.500 0.500
CELL_PARAMETERS angstrom
5.455 0.000 0.000
0.000 5.455 0.000
0.000 0.000 5.488

---

Record 3
! NaLa2TlRu | the Alexandria database | PBE | optimized geometry; values from VASP
! Relative energy among the computed polymorphs ... 105 meV per atom
! Uncorrected energy ... -0.33950 Ry/atom
! Space group ... P4/mmm, No. 123
! Density of states at the Fermi level ... 0.8431 states/eV per atom
! Energy relative to the elements ... -0.0559 eV/atom
&SYSTEM
  ibrav = 0, nat = 5, ntyp = 4
/
ATOMIC_SPECIES
Na 22.99 Na.upf
La 138.91 La.upf
Tl 204.38 Tl.upf
Ru 101.07 Ru.upf
ATOMIC_POSITIONS crystal
Na 0.000 0.000 0.000
La 0.000 0.500 0.500
La 0.500 0.000 0.500
Tl 0.500 0.500 0.000
Ru 0.000 0.000 0.500
CELL_PARAMETERS angstrom
5.300 0.000 0.000
0.000 5.300 0.000
0.000 0.000 5.632

---

Record 4
! Na2LaZnRu | the Alexandria database | PBE | optimized geometry; values from VASP
! Uncorrected energy ... -0.23773 Ry/atom
! Space group ... P4/mmm, No. 123
! Density of states at the Fermi level ... 0.5315 states/eV per atom
! Energy relative to the elements ... 0.3886 eV/atom
&SYSTEM
  ibrav = 0, nat = 5, ntyp = 4
/
ATOMIC_SPECIES
Na 22.99 Na.upf
La 138.91 La.upf
Zn 65.41 Zn.upf
Ru 101.07 Ru.upf
ATOMIC_POSITIONS crystal
Na 0.000 0.500 0.000
Na 0.500 0.000 0.000
La 0.000 0.000 0.500
Zn 0.500 0.500 0.500
Ru 0.000 0.000 0.000
CELL_PARAMETERS angstrom
5.641 0.000 0.000
0.000 5.641 0.000
0.000 0.000 4.932